Here is crystalline KNb3B at its relaxed geometry from the Alexandria database. Energies are from PBE-GGA.

Cell lengths 4.5974, 4.5974, 4.5974 Å; angles 90.00, 90.00, 90.00 degrees
With the nearest neighbours (Å) after each atom.
Atoms (fractional coordinates):
Nb 0.0000 0.5000 0.0000  2 B 2.30
Nb 0.0000 0.0000 0.5000  2 B 2.30
Nb 0.5000 0.0000 0.0000  2 B 2.30
B 0.0000 0.0000 0.0000  6 Nb 2.30
K 0.5000 0.5000 0.5000  12 Nb 3.25

Results
Density of states at the Fermi level in states/eV/cell: 5.203
Energy above the most stable polymorph in this dataset in meV/atom: 0
Crystal system: cubic
SG: Pm-3m
E_tot in eV/atom: -6.647